First-principles (GGA-PBE) data for crystalline FeCo2ReRh at its relaxed geometry, as listed in Alexandria.

Calculated values
The density comes out at 8.485 g/cm3. The total energy comes out at -34.603 eV/cell.

Cell lengths 4.3959, 4.3959, 4.6872 Å; angles 90.00, 90.00, 90.00 degrees
Atoms (fractional coordinates):
Fe 0.0000 0.0000 0.0000
Co 0.0000 0.5000 0.5000
Co 0.5000 0.0000 0.5000
Re 0.5000 0.5000 0.5000
Rh 0.5000 0.5000 0.0000